[1]
A plane-wave DFT calculation with PBE was carried out for a relaxed SmTaMnC3 crystal.

CIF file:
```
data_SmTaMnC3
_chemical_formula_sum 'Sm2 Ta2 Mn2 C6'
_symmetry_space_group_name_H-M 'P 1 21/m 1'
_symmetry_Int_Tables_number 11
_cell_length_a 6.987
_cell_length_b 3.335
_cell_length_c 7.390
_cell_angle_alpha 90.00
_cell_angle_beta 103.04
_cell_angle_gamma 90.00
loop_
_symmetry_equiv_pos_as_xyz
'x,y,z'
'-x,-y,-z'
'-x,y+1/2,-z'
'x,-y+1/2,z'
loop_
_atom_site_label
_atom_site_fract_x
_atom_site_fract_y
_atom_site_fract_z
_atom_site_occupancy
Sm1 0.181 0.250 0.199 1
Ta1 0.354 0.750 0.857 1
Mn1 0.097 0.250 0.604 1
C1 0.123 0.250 0.854 1
C2 0.171 0.750 0.532 1
C3 0.441 0.750 0.151 1
```

Summary:
- M_tot (μB/atom) = 0.000
- density of states at the Fermi level (states/eV/atom) = 0.39
- ρ (Mg/m³) = 8.361
- E_form (eV per formula unit) = -0.6

[2]
A plane-wave DFT calculation with PBE was carried out for a relaxed SmU2MnC4 crystal.

CIF file:
```
data_SmU2MnC4
_chemical_formula_sum 'Sm4 U8 Mn4 C16'
_symmetry_space_group_name_H-M 'C m c m'
_symmetry_Int_Tables_number 63
_symmetry_space_group_name_Hall '-C 2c 2'
_cell_length_a 3.542
_cell_length_b 11.265
_cell_length_c 11.617
_cell_angle_alpha 90.00
_cell_angle_beta 90.00
_cell_angle_gamma 90.00
loop_
_atom_site_label
_atom_site_fract_x
_atom_site_fract_y
_atom_site_fract_z
_atom_site_occupancy
Sm1 0.000 0.107 0.250 1
U1 0.000 0.370 0.049 1
Mn1 0.000 0.158 0.750 1
C1 0.000 0.000 0.000 1
C2 0.000 0.257 0.623 1
C3 0.000 0.420 0.250 1
```

Summary:
- M_tot (μB/atom) = 0.000
- density of states at the Fermi level (states/eV/atom) = 1.11
- ρ (Mg/m³) = 10.451
- E_form (eV per formula unit) = -0.8

[3]
A plane-wave DFT calculation with PBE was carried out for a relaxed SmMnZnC crystal.

CIF file:
```
data_SmMnZnC
_chemical_formula_sum 'Sm2 Mn2 Zn2 C2'
_symmetry_space_group_name_H-M 'P 4/n m m'
_symmetry_Int_Tables_number 129
_cell_length_a 3.436
_cell_length_b 3.436
_cell_length_c 10.724
_cell_angle_alpha 90.00
_cell_angle_beta 90.00
_cell_angle_gamma 90.00
loop_
_symmetry_equiv_pos_as_xyz
'x,y,z'
'-x,-y,-z'
'-y+1/2,x,z'
'y+1/2,-x,-z'
'-x+1/2,-y+1/2,z'
'x+1/2,y+1/2,-z'
'y,-x+1/2,z'
'-y,x+1/2,-z'
'x+1/2,-y,-z'
'-x+1/2,y,z'
'-y,-x,-z'
'y,x,z'
'-x,y+1/2,-z'
'x,-y+1/2,z'
'y+1/2,x+1/2,-z'
'-y+1/2,-x+1/2,z'
loop_
_atom_site_label
_atom_site_fract_x
_atom_site_fract_y
_atom_site_fract_z
_atom_site_occupancy
Sm1 0.250 0.250 0.232 1
Mn1 0.250 0.750 0.000 1
Zn1 0.250 0.750 0.500 1
C1 0.250 0.250 0.897 1
```

Summary:
- M_tot (μB/atom) = 0.274
- density of states at the Fermi level (states/eV/atom) = 0.66
- ρ (Mg/m³) = 7.416
- E_form (eV per formula unit) = -0.5

[4]
A plane-wave DFT calculation with PBE was carried out for a relaxed Mn4Sn2C crystal.

CIF file:
```
data_Mn4Sn2C
_chemical_formula_sum 'Mn8 Sn4 C2'
_symmetry_space_group_name_H-M 'I 4/m m m'
_symmetry_Int_Tables_number 139
_symmetry_space_group_name_Hall '-I 4 2'
_cell_length_a 3.917
_cell_length_b 3.917
_cell_length_c 13.627
_cell_angle_alpha 90.00
_cell_angle_beta 90.00
_cell_angle_gamma 90.00
loop_
_atom_site_label
_atom_site_fract_x
_atom_site_fract_y
_atom_site_fract_z
_atom_site_occupancy
Mn1 0.000 0.000 0.144 1
Mn2 0.000 0.500 0.000 1
Sn1 0.000 0.000 0.345 1
C1 0.000 0.000 0.000 1
```

Summary:
- M_tot (μB/atom) = 1.412
- density of states at the Fermi level (states/eV/atom) = 0.71
- ρ (Mg/m³) = 7.451
- E_form (eV per formula unit) = 0.5

[5]
A plane-wave DFT calculation with PBE was carried out for a relaxed MnSn3C crystal.

CIF file:
```
data_MnSn3C
_chemical_formula_sum 'Mn1 Sn3 C1'
_symmetry_space_group_name_H-M 'P m -3 m'
_symmetry_Int_Tables_number 221
_symmetry_space_group_name_Hall '-P 4 2 3'
_cell_length_a 4.944
_cell_length_b 4.944
_cell_length_c 4.944
_cell_angle_alpha 90.00
_cell_angle_beta 90.00
_cell_angle_gamma 90.00
loop_
_atom_site_label
_atom_site_fract_x
_atom_site_fract_y
_atom_site_fract_z
_atom_site_occupancy
Mn1 0.000 0.000 0.000 1
Sn1 0.000 0.000 0.500 1
C1 0.500 0.500 0.500 1
```

Summary:
- M_tot (μB/atom) = 0.062
- density of states at the Fermi level (states/eV/atom) = 2.14
- ρ (Mg/m³) = 5.813
- E_form (eV per formula unit) = 7.2

[6]
A plane-wave DFT calculation with PBE was carried out for a relaxed MnSn2C2 crystal.

CIF file:
```
data_MnSn2C2
_chemical_formula_sum 'Mn2 Sn4 C4'
_symmetry_space_group_name_H-M 'P 4/m b m'
_symmetry_Int_Tables_number 127
_symmetry_space_group_name_Hall '-P 4 2ab'
_cell_length_a 5.654
_cell_length_b 5.654
_cell_length_c 4.839
_cell_angle_alpha 90.00
_cell_angle_beta 90.00
_cell_angle_gamma 90.00
loop_
_atom_site_label
_atom_site_fract_x
_atom_site_fract_y
_atom_site_fract_z
_atom_site_occupancy
Mn1 0.000 0.000 0.000 1
Sn1 0.188 0.312 0.500 1
C1 0.244 0.256 0.000 1
```

Summary:
- M_tot (μB/atom) = 0.000
- density of states at the Fermi level (states/eV/atom) = 0.55
- ΔE to the lowest computed polymorph (kcal/mol of atoms) = 11.40
- ρ (Mg/m³) = 6.791
- E_form (eV per formula unit) = 6.2

Number 3 is which compound? SmMnZnC